DFT (PBE) results for crystalline KY2In at its relaxed geometry.

Calculated values
E_form, eV/atom: 0.2759
Magnetic moment, μB per formula unit: 0.00

a b c (Å): 8.048 8.048 8.048
angles (deg): 90.00 90.00 90.00
Space group F-43m (No. 216)
Symmetry-distinct sites (fractional):
K1 0.000 0.000 0.000 (multiplicity 4)
Y1 0.000 0.000 0.500 (multiplicity 4)
Y2 0.250 0.250 0.250 (multiplicity 4)
In1 0.250 0.250 0.750 (multiplicity 4)


DFT (PBE) results for crystalline K2InI2 at its relaxed geometry.

Calculated values
Offset from the most stable computed form, eV/atom: 0.000
Magnetic moment, μB per formula unit: 0.00
ΔE_f (raw), eV/atom: -0.78

a b c (Å): 10.075 10.075 4.137
angles (deg): 90.00 90.00 90.00
Space group P4/mbm (No. 127)
Symmetry-distinct sites (fractional):
K1 0.142 0.358 0.000 (multiplicity 4)
In1 0.000 0.000 0.000 (multiplicity 2)
I1 0.155 0.655 0.500 (multiplicity 4)


DFT (PBE) results for crystalline La8GeRu3Cl4 at its relaxed geometry.

Calculated values
Magnetic moment, μB per formula unit: 0.00
ΔE_f (raw), eV/atom: -1.09

a b c (Å): 8.4469 8.4469 22.5823
angles (deg): 90.00 90.00 120.00
Space group R-3m (No. 166, hexagonal axes)
Symmetry-distinct sites (fractional):
La1 0.0000 0.0000 0.2395 (multiplicity 6)
La2 0.0163 0.5082 0.7660 (multiplicity 18)
Ge1 0.0000 0.0000 0.5000 (multiplicity 3)
Ru1 0.0000 0.5000 0.5000 (multiplicity 9)
Cl1 0.0000 0.0000 0.0000 (multiplicity 3)
Cl2 0.0000 0.5000 0.0000 (multiplicity 9)


DFT (PBE) results for crystalline KCd2Se at its relaxed geometry.

Calculated values
Magnetic moment, μB per formula unit: 0.00
ΔE_f (raw), eV/atom: -0.30

a b c (Å): 4.418 6.452 8.799
angles (deg): 90.00 90.00 90.00
Space group Imm2 (No. 44)
Symmetry-distinct sites (fractional):
K1 0.000 0.000 0.000 (multiplicity 2)
Cd1 0.000 0.000 0.534 (multiplicity 2)
Cd2 0.000 0.500 0.810 (multiplicity 2)
Se1 0.000 0.500 0.215 (multiplicity 2)


DFT (PBE) results for crystalline Ce2PuMg6 at its relaxed geometry.

Calculated values
E_form, eV/atom: 0.2697
Magnetic moment, μB per formula unit: 2.71

a b c (Å): 9.1226 9.1226 3.0361
angles (deg): 90.00 90.00 120.00
Space group P6/mmm (No. 191)
Symmetry-distinct sites (fractional):
Ce1 0.3333 0.6667 0.0000 (multiplicity 2)
Pu1 0.0000 0.0000 0.0000 (multiplicity 1)
Mg1 0.0000 0.3268 0.5000 (multiplicity 6)


DFT (PBE) results for crystalline PrScAs2 at its relaxed geometry.

Calculated values
Offset from the most stable computed form, eV/atom: 0.159
E_form, eV/atom: -1.2411
Magnetic moment, μB per formula unit: 0.00

a b c (Å): 4.0798 4.0798 20.8180
angles (deg): 90.00 90.00 120.00
Space group R3m (No. 160, hexagonal axes)
Symmetry-distinct sites (fractional):
Pr1 0.0000 0.0000 0.0000 (multiplicity 3)
Sc1 0.0000 0.0000 0.1717 (multiplicity 3)
As1 0.0000 0.0000 0.4267 (multiplicity 3)
As2 0.0000 0.0000 0.5791 (multiplicity 3)


DFT (PBE) results for crystalline HfPaN at its relaxed geometry.

Calculated values
Offset from the most stable computed form, eV/atom: 0.000
Magnetic moment, μB per formula unit: 0.00
ΔE_f (raw), eV/atom: -1.06

a b c (Å): 3.2339 3.2339 11.4324
angles (deg): 90.00 90.00 120.00
Space group P-6m2 (No. 187)
Symmetry-distinct sites (fractional):
Hf1 0.0000 0.0000 0.2504 (multiplicity 2)
Pa1 0.6667 0.3333 0.0000 (multiplicity 1)
Pa2 0.6667 0.3333 0.5000 (multiplicity 1)
N1 0.3333 0.6667 0.1436 (multiplicity 2)


DFT (PBE) results for crystalline Ba2GeRhN at its relaxed geometry.

Calculated values
Magnetic moment, μB per formula unit: 0.00
ΔE_f (raw), eV/atom: -0.38

a b c (Å): 5.897 5.897 3.795
angles (deg): 90.00 90.00 90.00
Space group P4/mmm (No. 123)
Symmetry-distinct sites (fractional):
Ba1 0.000 0.500 0.000 (multiplicity 2)
Ge1 0.000 0.000 0.500 (multiplicity 1)
Rh1 0.500 0.500 0.500 (multiplicity 1)
N1 0.500 0.500 0.000 (multiplicity 1)